# CaInRe GGA-PBEsol relaxed
data_CaInRe
_symmetry_space_group_name_H-M 'I 4 m m'
_symmetry_Int_Tables_number 107
_symmetry_space_group_name_Hall 'I 4 -2'
_cell_length_a 3.519
_cell_length_b 3.519
_cell_length_c 10.334
_cell_angle_alpha 90.00
_cell_angle_beta 90.00
_cell_angle_gamma 90.00
loop_
_atom_site_label
_atom_site_type_symbol
_atom_site_fract_x
_atom_site_fract_y
_atom_site_fract_z
Ca1 Ca 0.000 0.000 0.000
In1 In 0.000 0.000 0.707
Re1 Re 0.000 0.000 0.312
# * DOS(E_F): 3.64 states/eV/cell
# * calculated formation energy: 0.5407 eV/atom
# * calculated volume: 127.9 Å³ per cell
# * energy above the lowest structure with this stoichiometry: 0 meV/atom
# * ρ: 8.85 g cm⁻³
# * electronic total energy: -33.65 eV/cell
# * spin magnetization: 0.0 μB per cell


# CaInRe GGA-PBEsol relaxed
data_CaInRe
_symmetry_space_group_name_H-M 'F -4 3 m'
_symmetry_Int_Tables_number 216
_symmetry_space_group_name_Hall 'F -4 2 3'
_cell_length_a 6.729
_cell_length_b 6.729
_cell_length_c 6.729
_cell_angle_alpha 90.00
_cell_angle_beta 90.00
_cell_angle_gamma 90.00
loop_
_atom_site_label
_atom_site_type_symbol
_atom_site_fract_x
_atom_site_fract_y
_atom_site_fract_z
Ca1 Ca 0.000 0.000 0.000
In1 In 0.250 0.250 0.250
Re1 Re 0.250 0.250 0.750
# * DOS(E_F): 14.43 states/eV/cell
# * calculated formation energy: 1.6089 eV/atom
# * calculated volume: 304.7 Å³ per cell
# * energy above the lowest structure with this stoichiometry: 1068 meV/atom
# * ρ: 7.44 g cm⁻³
# * electronic total energy: -54.48 eV/cell
# * spin magnetization: 8.7 μB per cell


# CaInRe2 GGA-PBEsol relaxed
data_CaInRe2
_symmetry_space_group_name_H-M 'P 4/m m m'
_symmetry_Int_Tables_number 123
_symmetry_space_group_name_Hall '-P 4 2'
_cell_length_a 3.941
_cell_length_b 3.941
_cell_length_c 4.576
_cell_angle_alpha 90.00
_cell_angle_beta 90.00
_cell_angle_gamma 90.00
loop_
_atom_site_label
_atom_site_type_symbol
_atom_site_fract_x
_atom_site_fract_y
_atom_site_fract_z
Ca1 Ca 0.000 0.000 0.000
In1 In 0.500 0.500 0.000
Re1 Re 0.000 0.500 0.500
# * DOS(E_F): 3.64 states/eV/cell
# * calculated formation energy: 0.7326 eV/atom
# * calculated volume: 71.1 Å³ per cell
# * ρ: 12.32 g cm⁻³
# * electronic total energy: -28.85 eV/cell
# * spin magnetization: 0.0 μB per cell


# Ca2InRe GGA-PBEsol relaxed
data_Ca2InRe
_symmetry_space_group_name_H-M 'C m m m'
_symmetry_Int_Tables_number 65
_symmetry_space_group_name_Hall '-C 2 2'
_cell_length_a 4.164
_cell_length_b 4.237
_cell_length_c 9.810
_cell_angle_alpha 90.00
_cell_angle_beta 90.00
_cell_angle_gamma 90.00
loop_
_atom_site_label
_atom_site_type_symbol
_atom_site_fract_x
_atom_site_fract_y
_atom_site_fract_z
Ca1 Ca 0.000 0.000 0.234
In1 In 0.000 0.500 0.500
Re1 Re 0.000 0.500 0.000
# * DOS(E_F): 6.24 states/eV/cell
# * calculated formation energy: 0.3671 eV/atom
# * calculated volume: 173.1 Å³ per cell
# * ρ: 7.31 g cm⁻³
# * electronic total energy: -38.23 eV/cell
# * spin magnetization: 0.0 μB per cell


# CaIn2Rh GGA-PBEsol relaxed
data_CaIn2Rh
_symmetry_space_group_name_H-M 'C 1 2/m 1'
_symmetry_Int_Tables_number 12
_symmetry_space_group_name_Hall '-C 2y'
_cell_length_a 9.447
_cell_length_b 3.819
_cell_length_c 5.084
_cell_angle_alpha 90.00
_cell_angle_beta 110.89
_cell_angle_gamma 90.00
loop_
_atom_site_label
_atom_site_type_symbol
_atom_site_fract_x
_atom_site_fract_y
_atom_site_fract_z
Ca1 Ca 0.000 0.000 0.000
In1 In 0.221 0.000 0.692
Rh1 Rh 0.000 0.500 0.500
# * DOS(E_F): 4.16 states/eV/cell
# * calculated formation energy: -0.3344 eV/atom
# * calculated volume: 171.3 Å³ per cell
# * ρ: 7.22 g cm⁻³
# * electronic total energy: -35.15 eV/cell
# * spin magnetization: 0.0 μB per cell


# CaIn2Rh GGA-PBEsol relaxed
data_CaIn2Rh
_symmetry_space_group_name_H-M 'P n m a'
_symmetry_Int_Tables_number 62
_symmetry_space_group_name_Hall '-P 2ac 2n'
_cell_length_a 15.756
_cell_length_b 7.765
_cell_length_c 5.639
_cell_angle_alpha 90.00
_cell_angle_beta 90.00
_cell_angle_gamma 90.00
loop_
_atom_site_label
_atom_site_type_symbol
_atom_site_fract_x
_atom_site_fract_y
_atom_site_fract_z
Ca1 Ca 0.104 0.250 0.245
Ca2 Ca 0.139 0.750 0.457
In1 In 0.039 0.054 0.749
In2 In 0.213 0.551 0.957
Rh1 Rh 0.071 0.750 0.981
Rh2 Rh 0.185 0.250 0.726
# * DOS(E_F): 13.56 states/eV/cell
# * calculated formation energy: -0.5460 eV/atom
# * calculated volume: 690.0 Å³ per cell
# * ρ: 7.17 g cm⁻³
# * electronic total energy: -147.37 eV/cell
# * spin magnetization: 0.0 μB per cell


# CaIn4Rh GGA-PBEsol relaxed
data_CaIn4Rh
_symmetry_space_group_name_H-M 'P m m a'
_symmetry_Int_Tables_number 51
_symmetry_space_group_name_Hall '-P 2a 2a'
_cell_length_a 8.616
_cell_length_b 4.194
_cell_length_c 7.402
_cell_angle_alpha 90.00
_cell_angle_beta 90.00
_cell_angle_gamma 90.00
loop_
_atom_site_label
_atom_site_type_symbol
_atom_site_fract_x
_atom_site_fract_y
_atom_site_fract_z
Ca1 Ca 0.250 0.000 0.101
In1 In 0.000 0.000 0.500
In2 In 0.064 0.500 0.814
In3 In 0.250 0.500 0.433
Rh1 Rh 0.250 0.000 0.694
# * DOS(E_F): 3.01 states/eV/cell
# * calculated formation energy: -0.4453 eV/atom
# * calculated volume: 267.5 Å³ per cell
# * ρ: 7.48 g cm⁻³
# * electronic total energy: -49.75 eV/cell
# * spin magnetization: 0.0 μB per cell


# CaInRh GGA-PBEsol relaxed
data_CaInRh
_symmetry_space_group_name_H-M 'P n m a'
_symmetry_Int_Tables_number 62
_symmetry_space_group_name_Hall '-P 2ac 2n'
_cell_length_a 7.177
_cell_length_b 4.297
_cell_length_c 8.218
_cell_angle_alpha 90.00
_cell_angle_beta 90.00
_cell_angle_gamma 90.00
loop_
_atom_site_label
_atom_site_type_symbol
_atom_site_fract_x
_atom_site_fract_y
_atom_site_fract_z
Ca1 Ca 0.025 0.250 0.177
In1 In 0.151 0.250 0.566
Rh1 Rh 0.224 0.750 0.376
# * DOS(E_F): 5.97 states/eV/cell
# * calculated formation energy: -0.5226 eV/atom
# * calculated volume: 253.4 Å³ per cell
# * ρ: 6.76 g cm⁻³
# * electronic total energy: -59.29 eV/cell
# * spin magnetization: 0.0 μB per cell


- The highest ρ belongs to which entry?
  CaInRe2